[1]
The following is a PBE calculation of a relaxed Pr7AuS5 crystal, from the Alexandria database.

Unit cell a=4.0915 b=7.0817 c=24.7301 alpha=90.00 beta=90.00 gamma=106.86
Positions (direct):
Pr 0.4679 0.9344 0.2500
Pr 0.5327 0.0668 0.7500
Pr 0.6375 0.2739 0.0364
Pr 0.3631 0.7274 0.9636
Pr 0.3631 0.7273 0.5364
Pr 0.6374 0.2738 0.4636
Pr 0.1858 0.3702 0.1745
Pr 0.8149 0.6311 0.8255
Pr 0.8148 0.6310 0.6745
Pr 0.1857 0.3701 0.3255
Pr 0.9131 0.8248 0.1054
Pr 0.0875 0.1764 0.8945
Pr 0.0874 0.1764 0.6055
Pr 0.9131 0.8247 0.3945
Au 0.7986 0.5953 0.2500
Au 0.2019 0.4058 0.7500
S 0.0003 0.0006 0.0000
S 0.7257 0.4526 0.9296
S 0.2749 0.5486 0.0704
S 0.5478 0.0936 0.3580
S 0.4527 0.9074 0.6420
S 0.0003 0.0005 0.5000
S 0.2749 0.5485 0.4296
S 0.7256 0.4526 0.5704
S 0.4528 0.9075 0.8580
S 0.5478 0.0938 0.1420

**Space group**: P2_1/m
**Formation energy without anion corrections**: -1.674 eV per atom



[2]
The following is a PBE calculation of a relaxed Pr2AuS crystal, from the Alexandria database.

Unit cell a=4.0719 b=4.0719 c=7.8651 alpha=75.00 beta=75.00 gamma=60.00
Positions (direct):
Pr 0.0756 0.0756 0.7732
Pr 0.2572 0.2572 0.2285
Au 0.4991 0.4991 0.5026
S 0.6681 0.6681 0.9956

**Relative energy among the computed polymorphs**: 84 meV per atom
**Space group**: R3m
**Formation energy without anion corrections**: -1.293 eV per atom



[3]
The following is a PBE calculation of a relaxed PrAuS crystal, from the Alexandria database.

Unit cell a=4.1829 b=5.4745 c=6.5853 alpha=90.00 beta=108.52 gamma=90.00
Positions (direct):
Au 0.4652 0.7500 0.9304
Au 0.5348 0.2500 0.0696
S 0.8021 0.7500 0.6042
S 0.1979 0.2500 0.3958
Pr 0.8587 0.2500 0.7174
Pr 0.1413 0.7500 0.2826

**Space group**: Cmcm
**Formation energy without anion corrections**: -1.338 eV per atom



[4]
The following is a PBE calculation of a relaxed Pr5AuS4 crystal, from the Alexandria database.

Unit cell a=4.1190 b=7.2537 c=9.2946 alpha=75.40 beta=77.20 gamma=73.51
Positions (direct):
Pr 0.2037 0.9020 0.6906
Pr 0.7963 0.0980 0.3094
Pr 0.3931 0.3196 0.8942
Pr 0.0000 0.5000 0.5000
Pr 0.6069 0.6804 0.1058
Au 0.0000 0.0000 0.0000
S 0.5978 0.2041 0.6003
S 0.2030 0.3901 0.2039
S 0.7970 0.6099 0.7961
S 0.4022 0.7959 0.3997

**Space group**: C2/m
**Formation energy without anion corrections**: -1.751 eV per atom



[5]
The following is a PBE calculation of a relaxed Pr2AuS crystal, from the Alexandria database.

Unit cell a=4.1542 b=4.1542 c=7.6278 alpha=74.20 beta=74.20 gamma=60.00
Positions (direct):
Pr 0.7435 0.7435 0.7694
Pr 0.2565 0.2565 0.2306
S 0.0000 0.0000 0.0000
Au 0.5000 0.5000 0.5000

**Relative energy among the computed polymorphs**: 60 meV per atom
**Space group**: R-3m
**Formation energy without anion corrections**: -1.317 eV per atom



[6]
The following is a PBE calculation of a relaxed Pr8AuS6 crystal, from the Alexandria database.

Unit cell a=4.1653 b=10.5850 c=10.5850 alpha=120.00 beta=90.00 gamma=90.00
Positions (direct):
Pr 0.7500 0.9656 0.2959
Pr 0.7500 0.7041 0.6698
Pr 0.7500 0.3302 0.0344
Pr 0.2500 0.0344 0.7041
Pr 0.2500 0.2959 0.3302
Pr 0.2500 0.6698 0.9656
Pr 0.7504 0.3333 0.6667
Pr 0.2496 0.6667 0.3333
Au 0.5000 0.0000 0.0000
S 0.7496 0.6505 0.1338
S 0.7496 0.8662 0.5168
S 0.7496 0.4832 0.3495
S 0.2504 0.3495 0.8662
S 0.2504 0.1338 0.4832
S 0.2504 0.5168 0.6505

**Space group**: P-3
**Formation energy without anion corrections**: -1.497 eV per atom



[7]
The following is a PBE calculation of a relaxed Pr6Au2S crystal, from the Alexandria database.

Unit cell a=6.8923 b=7.6195 c=10.6463 alpha=90.00 beta=87.40 gamma=90.00
Positions (direct):
Pr 0.1509 0.0308 0.2474
Pr 0.1665 0.3256 0.5671
Pr 0.1662 0.3055 0.9348
Pr 0.3338 0.8055 0.5652
Pr 0.3335 0.8256 0.9329
Pr 0.3491 0.5308 0.2526
Pr 0.8491 0.9692 0.7526
Pr 0.8335 0.6744 0.4329
Pr 0.8338 0.6945 0.0652
Pr 0.6662 0.1945 0.4348
Pr 0.6665 0.1744 0.0671
Pr 0.6509 0.4692 0.7474
Au 0.0668 0.6130 0.7630
Au 0.4332 0.1130 0.7370
Au 0.5668 0.8870 0.2630
Au 0.9332 0.3870 0.2370
S 0.5000 0.5000 0.0000
S 0.0000 0.0000 0.5000

**Space group**: P2_1/c
**Formation energy without anion corrections**: -0.765 eV per atom



[8]
The following is a PBE calculation of a relaxed Pr3AuS2 crystal, from the Alexandria database.

Unit cell a=4.4234 b=7.2207 c=10.9365 alpha=90.00 beta=90.00 gamma=107.84
Positions (direct):
Pr 0.6391 0.2783 0.0600
Pr 0.1030 0.2059 0.7500
Pr 0.6391 0.2783 0.4400
Pr 0.8970 0.7941 0.2500
Pr 0.3609 0.7217 0.9400
Pr 0.3609 0.7217 0.5600
Au 0.2401 0.4802 0.2500
Au 0.7599 0.5198 0.7500
S 0.0000 0.0000 0.0000
S 0.0000 0.0000 0.5000
S 0.5097 0.0194 0.2500
S 0.4903 0.9806 0.7500

**Space group**: Cmcm
**Formation energy without anion corrections**: -1.294 eV per atom



[9]
The following is a PBE calculation of a relaxed Pr8AuSe4S3 crystal, from the Alexandria database.

Unit cell a=8.4047 b=8.4830 c=8.4049 alpha=119.70 beta=120.00 gamma=90.00
Positions (direct):
Pr 0.2512 0.7411 0.9899
Pr 0.2512 0.7411 0.5025
Pr 0.2566 0.2698 0.5132
Pr 0.7387 0.7411 0.9899
Pr 0.2613 0.2589 0.0101
Pr 0.7434 0.7302 0.4868
Pr 0.7488 0.2589 0.4975
Pr 0.7488 0.2589 0.0101
Au 0.0000 0.5000 0.0000
Se 0.5000 0.0000 0.0000
Se 0.5000 0.0000 0.5000
Se 0.0000 0.0000 0.0000
Se 0.0000 0.0000 0.5000
S 0.5000 0.5000 0.0000
S 0.5000 0.5000 0.5000
S 0.0000 0.5000 0.5000

**Space group**: R-3m
**Formation energy without anion corrections**: -1.780 eV per atom



[10]
The following is a PBE calculation of a relaxed Pr6AuSe2S3 crystal, from the Alexandria database.

Unit cell a=7.2751 b=7.2751 c=7.2729 alpha=99.57 beta=99.57 gamma=120.01
Positions (direct):
Pr 0.9129 0.5751 0.7362
Pr 0.7518 0.7518 0.2657
Pr 0.0871 0.4249 0.2638
Pr 0.5751 0.9129 0.7362
Pr 0.2482 0.2482 0.7343
Pr 0.4249 0.0871 0.2638
Au 0.0000 0.0000 0.0000
Se 0.3343 0.6657 0.0000
Se 0.6657 0.3343 0.0000
S 0.1670 0.8330 0.5000
S 0.8330 0.1670 0.5000
S 0.5000 0.5000 0.5000

**Space group**: C2/m
**Formation energy without anion corrections**: -1.759 eV per atom



[11]
The following is a PBE calculation of a relaxed Pr8AuSe3S4 crystal, from the Alexandria database.

Unit cell a=8.3855 b=8.4051 c=8.3859 alpha=119.92 beta=120.00 gamma=90.00
Positions (direct):
Pr 0.2572 0.7674 0.0102
Pr 0.2572 0.7674 0.5143
Pr 0.2432 0.2296 0.4864
Pr 0.7530 0.7674 0.0102
Pr 0.2470 0.2326 0.9898
Pr 0.7568 0.7704 0.5136
Pr 0.7428 0.2326 0.4857
Pr 0.7428 0.2326 0.9898
Au 0.0000 0.5000 0.0000
Se 0.5000 0.5000 0.0000
Se 0.5000 0.5000 0.5000
Se 0.0000 0.5000 0.5000
S 0.5000 0.0000 0.0000
S 0.5000 0.0000 0.5000
S 0.0000 0.0000 0.0000
S 0.0000 0.0000 0.5000

**Space group**: R-3m
**Formation energy without anion corrections**: -1.802 eV per atom



[12]
The following is a PBE calculation of a relaxed PrSnAuS crystal, from the Alexandria database.

Unit cell a=4.6397 b=4.6397 c=11.8914 alpha=78.75 beta=78.75 gamma=60.00
Positions (direct):
Pr 0.1129 0.1129 0.6613
Pr 0.8871 0.8871 0.3387
Sn 0.7007 0.7007 0.8979
Sn 0.2993 0.2993 0.1021
Au 0.6165 0.6165 0.1504
Au 0.3835 0.3835 0.8496
S 0.8032 0.8032 0.5905
S 0.1968 0.1968 0.4095

**Space group**: R-3m
**Formation energy without anion corrections**: -1.040 eV per atom